(1)
## CeGe2Pd (PBE-GGA)

Data for a relaxed CeGe2Pd crystal.

a b c (Å): 4.1798 7.3350 10.4304
angles (deg): 90.00 90.00 90.00
With the nearest neighbours (Å) after each atom.
Fractional positions:
Ce  0.7500  0.6504  0.6302  9 Ge 3.06-3.27, 2 Pd 3.40
Ce  0.2500  0.8496  0.1302  9 Ge 3.06-3.27, 2 Pd 3.40
Ce  0.2500  0.3496  0.3698  9 Ge 3.06-3.27, 2 Pd 3.40
Ce  0.7500  0.1504  0.8698  9 Ge 3.06-3.27, 2 Pd 3.40
Ge  0.7500  0.2271  0.5682  3 Pd 2.55-2.63, 2 Ge 2.59
Ge  0.2500  0.2729  0.0682  3 Pd 2.55-2.63, 2 Ge 2.59
Ge  0.2500  0.7729  0.4318  3 Pd 2.55-2.63, 2 Ge 2.59
Ge  0.7500  0.7271  0.9318  3 Pd 2.55-2.63, 2 Ge 2.59
Ge  0.7500  0.6446  0.3167  2 Pd 2.48-2.62, 2 Ge 2.59
Ge  0.2500  0.8554  0.8167  2 Pd 2.48-2.62, 2 Ge 2.59
Ge  0.2500  0.3554  0.6833  2 Pd 2.48-2.62, 2 Ge 2.59
Ge  0.7500  0.1446  0.1833  2 Pd 2.48-2.62, 2 Ge 2.59
Pd  0.7500  0.9847  0.3932  5 Ge 2.48-2.63
Pd  0.2500  0.5153  0.8932  5 Ge 2.48-2.63
Pd  0.2500  0.0153  0.6068  5 Ge 2.48-2.63
Pd  0.7500  0.4847  0.1068  5 Ge 2.48-2.63

Results
For the electronic total energy, the calculation gives -0.2146 hartree per atom. The calculation puts the total magnetic moment at 0.46 μB/f.u. As for the formation energy from the elements: -3.0 eV per formula unit. As for the volume: 320 Å³/cell.

(2)
## Ce2Ge6Pd (PBE-GGA)

Data for a relaxed Ce2Ge6Pd crystal.

a b c (Å): 11.2581 11.2581 4.1580
angles (deg): 90.00 90.00 158.93
With the nearest neighbours (Å) after each atom.
Fractional positions:
Ce  0.7793  0.2207  0.5000  10 Ge 3.05-3.21
Ce  0.1149  0.8851  0.5000  10 Ge 3.16-3.43, 4 Pd 3.19
Ge  0.4939  0.5061  0.5000  1 Ge 2.50, 2 Pd 2.51
Ge  0.3807  0.6193  0.5000  1 Ge 2.50
Ge  0.9933  0.0067  0.0000  2 Pd 2.50, 1 Ge 2.51
Ge  0.8801  0.1199  0.0000  1 Ge 2.51
Ge  0.6689  0.3311  0.0000  1 Pd 2.46, 2 Ge 2.57
Ge  0.2382  0.7618  0.0000  2 Ge 2.57
Pd  0.5578  0.4422  0.0000  5 Ge 2.46-2.51

Results
For the electronic total energy, the calculation gives -0.2014 hartree per atom. The calculation puts the total magnetic moment at 1.06 μB/f.u. As for the formation energy from the elements: -4.6 eV per formula unit. As for the volume: 189 Å³/cell.